The following is a DFT calculation (PBE-GGA) of an optimized crystal structure of SrGaTe3.

As for the uncorrected formation energy: -3.76 eV per formula unit. The calculation puts the excess energy over the best structure of this formula in the dataset at 0.00 eV per formula unit.

It has space group P2_1/c (No. 14), with a = 9.8325 Å, b = 7.7603 Å, c = 11.2520 Å, α = 90.00°, β = 120.69° and γ = 90.00°. Symmetry generates all atoms from Sr at (0.1868, 0.2293, 0.1490), Ga at (0.3381, 0.6599, 0.9024), Te at (0.0416, 0.6211, 0.7020), Te at (0.3343, 0.0033, 0.9369) and Te at (0.4552, 0.5053, 0.1496).

The following is a DFT calculation (PBE-GGA) of an optimized crystal structure of Y2CoRe.

Its density of states at the Fermi level is 5.13 states/eV per cell. For the formation energy, the calculation gives 18 kJ per mole of atoms.

It has space group P4mm (No. 99), with a = 3.1769 Å, b = 3.1769 Å, c = 8.3911 Å, α = 90.00°, β = 90.00° and γ = 90.00°. Symmetry generates all atoms from Y at (0.0000, 0.0000, 0.0000), Y at (0.5000, 0.5000, 0.3821), Co at (0.0000, 0.0000, 0.6194) and Re at (0.5000, 0.5000, 0.7534).

The following is a DFT calculation (PBE-GGA) of an optimized crystal structure of SrAl2.

Its density of states at the Fermi level is 2.06 states/eV per cell. For the formation energy, the calculation gives 8 kJ per mole of atoms.

It has space group P4/mmm (No. 123), with a = 3.9235 Å, b = 3.9235 Å, c = 5.6171 Å, α = 90.00°, β = 90.00° and γ = 90.00°. Symmetry generates all atoms from Sr at (0.0000, 0.0000, 0.0000) and Al at (0.0000, 0.5000, 0.5000).

The following is a DFT calculation (PBE-GGA) of an optimized crystal structure of AlC2.

Its density of states at the Fermi level is 1.91 states/eV per cell. For the formation energy, the calculation gives 77 kJ per mole of atoms. The calculation puts the excess energy over the best structure of this formula in the dataset at 1.53 eV per formula unit.

It has space group Cmcm (No. 63), with a = 2.5524 Å, b = 8.3620 Å, c = 4.7246 Å, α = 90.00°, β = 90.00° and γ = 90.00°. Symmetry generates all atoms from Al at (0.0000, 0.1606, 0.2500), C at (0.0000, 0.1334, 0.7500) and C at (0.0000, 0.4625, 0.2500).

The following is a DFT calculation (PBE-GGA) of an optimized crystal structure of LiNi2Pt.

Its density of states at the Fermi level is 8.60 states/eV per cell. For the formation energy, the calculation gives -21 kJ per mole of atoms.

It has space group Cmmm (No. 65), with a = 5.0957 Å, b = 7.3849 Å, c = 2.6317 Å, α = 90.00°, β = 90.00° and γ = 90.00°. Symmetry generates all atoms from Li at (0.0000, 0.0000, 0.0000), Ni at (0.2500, 0.2500, 0.5000) and Pt at (0.0000, 0.5000, 0.0000).

The following is a DFT calculation (PBE-GGA) of an optimized crystal structure of Ba3Sr2Ca4.

Its density of states at the Fermi level is 28.15 states/eV per cell. For the formation energy, the calculation gives 18 kJ per mole of atoms. The calculation puts the excess energy over the best structure of this formula in the dataset at 1.37 eV per formula unit.

It has space group Immm (No. 71), with a = 4.1398 Å, b = 13.3559 Å, c = 17.8454 Å, α = 90.00°, β = 90.00° and γ = 90.00°. Symmetry generates all atoms from Ba at (0.0000, 0.0000, 0.0000), Ba at (0.0000, 0.0000, 0.3970), Sr at (0.0000, 0.5000, 0.2947) and Ca at (0.0000, 0.2465, 0.1530).

The following is a DFT calculation (PBE-GGA) of an optimized crystal structure of TbTh5Se6.

Its density of states at the Fermi level is 17.69 states/eV per cell. As for the uncorrected formation energy: -18.89 eV per formula unit.

It has space group C2/m (No. 12), with a = 7.2841 Å, b = 12.6571 Å, c = 7.1824 Å, α = 90.00°, β = 109.88° and γ = 90.00°. Symmetry generates all atoms from Tb at (0.0000, 0.0000, 0.0000), Th at (0.0000, 0.1714, 0.5000), Th at (0.0000, 0.3340, 0.0000), Th at (0.0000, 0.5000, 0.5000), Se at (0.2415, 0.0000, 0.7498) and Se at (0.2431, 0.1626, 0.2430).

The following is a DFT calculation (PBE-GGA) of an optimized crystal structure of Li3TbU3S8.

Its density of states at the Fermi level is 36.50 states/eV per cell. As for the uncorrected formation energy: -22.15 eV per formula unit.

It has space group R-3m (No. 166, hexagonal axes), with a = 7.8352 Å, b = 7.8352 Å, c = 18.5782 Å, α = 90.00°, β = 90.00° and γ = 120.00°. Symmetry generates all atoms from Li at (0.0000, 0.5000, 0.0000), Tb at (0.0000, 0.0000, 0.5000), U at (0.0000, 0.5000, 0.5000), S at (0.0000, 0.0000, 0.2518) and S at (0.0007, 0.5004, 0.7507).

The following is a DFT calculation (PBE-GGA) of an optimized crystal structure of Zn2Cu2Pd.

Its density of states at the Fermi level is 2.72 states/eV per cell. For the formation energy, the calculation gives 8 kJ per mole of atoms. The calculation puts the excess energy over the best structure of this formula in the dataset at 1.38 eV per formula unit.

It has space group I4/mmm (No. 139), with a = 3.5255 Å, b = 3.5255 Å, c = 11.8115 Å, α = 90.00°, β = 90.00° and γ = 90.00°. Symmetry generates all atoms from Zn at (0.0000, 0.5000, 0.2500), Cu at (0.0000, 0.0000, 0.0992) and Pd at (0.0000, 0.0000, 0.5000).

The following is a DFT calculation (PBE-GGA) of an optimized crystal structure of Pm3S2O2.

Its density of states at the Fermi level is 5.73 states/eV per cell. As for the uncorrected formation energy: -18.67 eV per formula unit. The calculation puts the excess energy over the best structure of this formula in the dataset at 0.09 eV per formula unit.

It has space group C2/m (No. 12), with a = 12.9223 Å, b = 3.9337 Å, c = 6.6616 Å, α = 90.00°, β = 117.74° and γ = 90.00°. Symmetry generates all atoms from Pm at (0.0000, 0.0000, 0.0000), Pm at (0.2166, 0.0000, 0.6961), S at (0.0989, 0.5000, 0.8312) and O at (0.1843, 0.0000, 0.3258).

The following is a DFT calculation (PBE-GGA) of an optimized crystal structure of AlFeBr2.

Its density of states at the Fermi level is 8.09 states/eV per cell. As for the uncorrected formation energy: 0.25 eV per formula unit. The calculation puts the excess energy over the best structure of this formula in the dataset at 1.35 eV per formula unit.

It has space group R-3m (No. 166, hexagonal axes), with a = 3.5272 Å, b = 3.5272 Å, c = 26.9188 Å, α = 90.00°, β = 90.00° and γ = 120.00°. Symmetry generates all atoms from Al at (0.0000, 0.0000, 0.0000), Fe at (0.0000, 0.0000, 0.5000) and Br at (0.0000, 0.0000, 0.2267).

The following is a DFT calculation (PBE-GGA) of an optimized crystal structure of La3BiIr.

Its density of states at the Fermi level is 19.30 states/eV per cell. For the formation energy, the calculation gives -51 kJ per mole of atoms. The calculation puts the excess energy over the best structure of this formula in the dataset at 1.50 eV per formula unit.

It has space group Pnma (No. 62), with a = 8.2525 Å, b = 9.8967 Å, c = 8.3956 Å, α = 90.00°, β = 90.00° and γ = 90.00°. Symmetry generates all atoms from La at (0.1377, 0.0648, 0.1492), La at (0.1528, 0.2500, 0.7195), Bi at (0.0000, 0.0000, 0.5000) and Ir at (0.0618, 0.7500, 0.0200).